# NaLi2CrO GGA+U optimized geometry
data_NaLi2CrO
_chemical_formula_sum 'Na1 Li2 Cr1 O1'
_cell_length_a 4.9218
_cell_length_b 4.0058
_cell_length_c 4.9218
_cell_angle_alpha 90.00
_cell_angle_beta 90.00
_cell_angle_gamma 90.00
_symmetry_space_group_name_H-M 'P 1'
_symmetry_Int_Tables_number 1
_symmetry_space_group_name_Hall 'P 1'
loop_
_atom_site_label
_atom_site_type_symbol
_atom_site_fract_x
_atom_site_fract_y
_atom_site_fract_z
Cr1 Cr 0.5000 0.5000 0.5000
Li1 Li 0.0000 0.0000 0.5000
Li2 Li 0.5000 0.0000 0.0000
O1 O 0.0000 0.5000 0.0000
Na1 Na 0.0000 0.0000 0.0000
# - electronic total energy (eV/f.u.) = -16.715
# - M_tot (μB per formula unit) = 5.0